VASP calculation (GGA-PBE) on La5TbTl4 after structural relaxation.

The calculation puts the volume at 320.0 Å³ per cell. As for the energy relative to the elements: -0.314 eV per atom.

The structure belongs to space group P4/mmm (No. 123); the cell edges are 3.709, 3.709 and 23.263 Å and the angles 90.00°, 90.00° and 90.00°. Symmetry generates all atoms from La at (0.000, 0.000, 0.000), La at (0.000, 0.000, 0.195), La at (0.000, 0.000, 0.389), Tb at (0.500, 0.500, 0.500), Tl at (0.500, 0.500, 0.098) and Tl at (0.500, 0.500, 0.293).

VASP calculation (GGA-PBE) on CdReGeO6 after structural relaxation.

The calculation puts the volume at 223.4 Å³ per cell. The calculation puts the formation energy from raw total energies at -1.4150 eV/atom.

The structure belongs to space group P-31c (No. 163); the cell edges are 5.1470, 5.1470 and 9.7389 Å and the angles 90.00°, 90.00° and 120.00°. Symmetry generates all atoms from Cd at (0.0000, 0.0000, 0.0000), Re at (0.3333, 0.6667, 0.2500), Ge at (0.3333, 0.6667, 0.7500) and O at (0.9997, 0.3728, 0.1421).

VASP calculation (GGA-PBE) on B5C7 after structural relaxation.

The calculation puts the volume at 78.4 Å³ per cell. For the excess energy over the best structure of this formula in the dataset, the calculation gives 134 meV/atom. As for the energy relative to the elements: 0.392 eV per atom.

The structure belongs to space group Pm (No. 6); the cell edges are 4.749, 2.567 and 6.434 Å and the angles 90.00°, 91.78° and 90.00°. Symmetry generates all atoms from B at (0.000, 0.000, 0.000), B at (0.053, 0.000, 0.708), B at (0.504, 0.500, 0.988), B at (0.820, 0.500, 0.701), B at (0.881, 0.500, 0.402), C at (0.190, 0.500, 0.085), C at (0.209, 0.500, 0.322), C at (0.364, 0.000, 0.645), C at (0.372, 0.000, 0.403), C at (0.506, 0.500, 0.735), C at (0.681, 0.000, 0.321) and C at (0.689, 0.000, 0.093).

VASP calculation (GGA-PBE) on AcSi2PdO6 after structural relaxation.

The calculation puts the volume at 575.3 Å³ per cell. The calculation puts the formation energy from raw total energies at -2.4420 eV/atom.

The structure belongs to space group C2/c (No. 15); the cell edges are 10.373, 11.168 and 5.047 Å and the angles 90.00°, 100.27° and 90.00°. Symmetry generates all atoms from Ac at (0.000, 0.135, 0.250), Si at (0.208, 0.426, 0.242), Pd at (0.000, 0.316, 0.750), O at (0.130, 0.305, 0.129), O at (0.132, 0.079, 0.706) and O at (0.162, 0.460, 0.534).

VASP calculation (GGA-PBE) on Sr2CoIr after structural relaxation.

The calculation puts the volume at 246.7 Å³ per cell. As for the energy relative to the elements: -0.136 eV per atom.

The structure belongs to space group Cm (No. 8); the cell edges are 7.207, 4.161 and 8.567 Å and the angles 90.00°, 106.22° and 90.00°. Symmetry generates all atoms from Sr at (0.000, 0.000, 0.000), Sr at (0.169, 0.000, 0.508), Co at (0.418, 0.000, 0.254) and Ir at (0.251, 0.500, 0.254).

VASP calculation (GGA-PBE) on Sm7Er3In after structural relaxation.

The calculation puts the volume at 366.1 Å³ per cell. As for the energy relative to the elements: 0.111 eV per atom.

The structure belongs to space group P3m1 (No. 156); the cell edges are 7.0333, 7.0333 and 8.5462 Å and the angles 90.00°, 90.00° and 120.00°. Symmetry generates all atoms from Sm at (0.0000, 0.0000, 0.0000), Sm at (0.1640, 0.3279, 0.3395), Sm at (0.5020, 0.0041, 0.0088), Er at (0.3328, 0.1664, 0.6711) and In at (0.6667, 0.3333, 0.3482).